## CsBaMn3 (PBE-GGA)

Data for crystalline CsBaMn3 at its relaxed geometry.

a = 5.839 Å, b = 5.839 Å, c = 5.839 Å
α = 90.00°, β = 90.00°, γ = 90.00°
Atoms (fractional coordinates):
Cs: 0.000 0.000 0.000
Ba: 0.500 0.500 0.500
Mn: 0.000 0.000 0.500
Mn: 0.000 0.500 0.000
Mn: 0.500 0.000 0.000

Summary:
The calculation puts the electronic total energy at -21.74 eV/f.u. The calculated formation energy comes out at 8.54 eV per formula unit.